Here is a relaxed LiHf2Zn6 crystal from Alexandria. Energies are from PBE.

Results
Formation enthalpy at 0 K ... -203 meV per atom

Unit cell a=2.949 b=7.626 c=7.626 alpha=60.00 beta=89.99 gamma=89.99
Positions (direct):
Li 0.000 0.000 0.000
Hf 0.000 0.333 0.333
Zn 0.500 0.669 0.331
Zn 0.500 0.331 0.669
Zn 0.501 0.331 0.000
Zn 0.499 0.669 0.000
Hf 0.000 0.667 0.667
Zn 0.501 0.000 0.331
Zn 0.499 0.000 0.669

=====

Here is a relaxed NaEr4ThSe8 crystal from Alexandria. Energies are from PBE.

Results
ΔE_f (raw) ... -1.69 eV per atom

Unit cell a=8.379 b=8.379 c=8.493 alpha=60.44 beta=60.44 gamma=60.00
Positions (direct):
Se 0.760 0.760 0.721
Se 0.753 0.230 0.265
Er 0.005 0.005 0.503
Er 0.487 0.005 0.503
Se 0.244 0.777 0.734
Se 0.239 0.239 0.283
Th 0.004 0.004 0.989
Er 0.005 0.487 0.503
Se 0.244 0.244 0.734
Se 0.230 0.753 0.265
Se 0.753 0.753 0.265
Na 0.371 0.371 0.886
Se 0.777 0.244 0.734
Er 0.629 0.629 0.114

=====

Here is a relaxed TaTc2As crystal from Alexandria. Energies are from PBE.

Results
Formation enthalpy at 0 K ... -60 meV per atom

Unit cell a=2.957 b=4.127 c=5.109 alpha=90.00 beta=90.00 gamma=90.00
Positions (direct):
Ta 0.500 0.500 0.751
As 0.000 0.000 0.491
Tc 0.000 0.000 0.003
Tc 0.500 0.500 0.255